Here is K5FeO4 after structural relaxation from Alexandria. Energies are from PBE with a Hubbard U.

a = 7.890 Å, b = 8.344 Å, c = 6.261 Å
α = 90.00°, β = 90.00°, γ = 90.00°
Space group Pmmn (No. 59, origin choice 2)
Symmetry-distinct sites (fractional):
K 0.013 0.059 0.238 x8
K 0.250 0.750 0.342 x2
Fe 0.250 0.250 0.711 x2
O 0.041 0.250 0.878 x4
O 0.250 0.052 0.543 x4

Results
- Size of the total moment: 5.0 μB per formula unit
- V: 412.2 Å³ per cell
- Polymorph energy (0 for the lowest one): 0.40 eV/f.u.
- Electronic total energy: -4.40 eV/atom